Here is a relaxed ZnSbS3 crystal from Alexandria via LeMat-Bulk. Energies are from GGA-PBE.

Properties
- E_form (uncorrected): -0.2266 eV/atom
- Total energy: -3.78 eV/atom
- Space-group type: Pnma (62)

Structure (POSCAR):
```
ZnSbS3
1.0
6.064 0.000 0.000
0.000 7.582 0.000
0.000 0.000 10.214
Zn Sb S
4 4 12
Direct
0.550 0.325 0.250
0.050 0.175 0.750
0.450 0.675 0.750
0.950 0.825 0.250
0.500 0.000 0.000
0.000 0.500 0.500
0.000 0.500 0.000
0.500 0.000 0.500
0.902 0.161 0.962
0.402 0.339 0.462
0.402 0.339 0.038
0.098 0.839 0.462
0.098 0.839 0.038
0.598 0.661 0.538
0.598 0.661 0.962
0.902 0.161 0.538
0.628 0.001 0.250
0.128 0.499 0.750
0.372 0.999 0.750
0.872 0.501 0.250
```